# 1
! ScCuAg2 (PBEsol, optimized geometry); values from VASP
! - Calculated formation energy: -10 meV per atom
! - Crystal system: monoclinic
&SYSTEM
  ibrav = 0, nat = 4, ntyp = 3
/
ATOMIC_SPECIES
Sc 44.96 Sc.upf
Cu 63.55 Cu.upf
Ag 107.87 Ag.upf
ATOMIC_POSITIONS crystal
Sc 0.0000 0.0000 0.0000
Cu 0.5077 0.5077 0.2359
Ag 0.0045 0.0045 0.4630
Ag 0.4950 0.4950 0.7256
CELL_PARAMETERS angstrom
2.1716 -1.8344 0.0000
2.1716 1.8344 0.0000
-0.2476 0.0000 8.0960

# 2
! Zn2CoMo (PBEsol, optimized geometry); values from VASP
! - Calculated formation energy: 132 meV per atom
! - Crystal system: tetragonal
&SYSTEM
  ibrav = 0, nat = 4, ntyp = 3
/
ATOMIC_SPECIES
Zn 65.41 Zn.upf
Co 58.93 Co.upf
Mo 95.94 Mo.upf
ATOMIC_POSITIONS crystal
Zn 0.0000 0.0000 0.0000
Zn 0.7500 0.2500 0.5000
Co 0.5000 0.5000 0.0000
Mo 0.2500 0.7500 0.5000
CELL_PARAMETERS angstrom
-1.9576 1.9576 3.3472
1.9576 -1.9576 3.3472
1.9576 1.9576 -3.3472

# 3
! BaCr2Sn2 (PBEsol, optimized geometry); values from VASP
! - Calculated formation energy: 170 meV per atom
! - Crystal system: tetragonal
&SYSTEM
  ibrav = 0, nat = 5, ntyp = 3
/
ATOMIC_SPECIES
Ba 137.33 Ba.upf
Cr 52.00 Cr.upf
Sn 118.71 Sn.upf
ATOMIC_POSITIONS crystal
Ba 0.0000 0.0000 0.0000
Cr 0.4052 0.4052 0.0000
Cr 0.5948 0.5948 0.0000
Sn 0.2500 0.7500 0.5000
Sn 0.7500 0.2500 0.5000
CELL_PARAMETERS angstrom
-2.4516 2.4516 4.7471
2.4516 -2.4516 4.7471
2.4516 2.4516 -4.7471

# 4
! Na2H6Ir (PBEsol, optimized geometry); values from VASP
! - Crystal system: cubic
! - E_tot: -0.13589 hartree per atom
&SYSTEM
  ibrav = 0, nat = 9, ntyp = 3
/
ATOMIC_SPECIES
Na 22.99 Na.upf
H 1.01 H.upf
Ir 192.22 Ir.upf
ATOMIC_POSITIONS crystal
Na 0.2500 0.2500 0.2500
Na 0.7500 0.7500 0.7500
H 0.2378 0.2378 0.7622
H 0.2378 0.7622 0.2378
H 0.2378 0.7622 0.7622
H 0.7622 0.2378 0.2378
H 0.7622 0.2378 0.7622
H 0.7622 0.7622 0.2378
Ir 0.0000 0.0000 0.0000
CELL_PARAMETERS angstrom
0.0000 3.5342 3.5342
3.5342 0.0000 3.5342
3.5342 3.5342 0.0000

# 5
! Tb2Be2GeO7 (PBEsol, optimized geometry); values from VASP
! - Crystal system: tetragonal
! - E_form (uncorrected): -35.06 eV per formula unit
&SYSTEM
  ibrav = 0, nat = 24, ntyp = 4
/
ATOMIC_SPECIES
Tb 158.93 Tb.upf
Be 9.01 Be.upf
Ge 72.64 Ge.upf
O 16.00 O.upf
ATOMIC_POSITIONS crystal
Tb 0.1581 0.3419 0.4947
Tb 0.3419 0.8419 0.5053
Tb 0.6581 0.1581 0.5053
Tb 0.8419 0.6581 0.4947
Be 0.1352 0.6352 0.9529
Be 0.3648 0.1352 0.0471
Be 0.6352 0.8648 0.0471
Be 0.8648 0.3648 0.9529
Ge 0.0000 0.0000 0.0000
Ge 0.5000 0.5000 0.0000
O 0.0000 0.5000 0.8143
O 0.0808 0.8281 0.7822
O 0.1420 0.6420 0.2841
O 0.1719 0.0808 0.2178
O 0.3281 0.5808 0.7822
O 0.3580 0.1420 0.7159
O 0.4192 0.3281 0.2178
O 0.5000 0.0000 0.1857
O 0.5808 0.6719 0.2178
O 0.6420 0.8580 0.7159
O 0.6719 0.4192 0.7822
O 0.8281 0.9192 0.2178
O 0.8580 0.3580 0.2841
O 0.9192 0.1719 0.7822
CELL_PARAMETERS angstrom
7.3903 0.0000 0.0000
0.0000 7.3903 0.0000
0.0000 0.0000 4.7818

# 6
! Rb2SbAs2 (PBEsol, optimized geometry); values from VASP
! - Crystal system: tetragonal
! - E_form (uncorrected): -0.86 eV per formula unit
&SYSTEM
  ibrav = 0, nat = 5, ntyp = 3
/
ATOMIC_SPECIES
Rb 85.47 Rb.upf
Sb 121.76 Sb.upf
As 74.92 As.upf
ATOMIC_POSITIONS crystal
Rb 0.1148 0.1148 0.0000
Rb 0.8852 0.8852 0.0000
Sb 0.5000 0.5000 0.0000
As 0.2500 0.7500 0.5000
As 0.7500 0.2500 0.5000
CELL_PARAMETERS angstrom
-1.8438 1.8438 11.4204
1.8438 -1.8438 11.4204
1.8438 1.8438 -11.4204

# 7
! SrLi2Cd2 (PBEsol, optimized geometry); values from VASP
! - Calculated formation energy: -195 meV per atom
! - Crystal system: tetragonal
&SYSTEM
  ibrav = 0, nat = 5, ntyp = 3
/
ATOMIC_SPECIES
Sr 87.62 Sr.upf
Li 6.94 Li.upf
Cd 112.41 Cd.upf
ATOMIC_POSITIONS crystal
Sr 0.0000 0.0000 0.0000
Li 0.2500 0.7500 0.5000
Li 0.7500 0.2500 0.5000
Cd 0.3881 0.3881 0.0000
Cd 0.6119 0.6119 0.0000
CELL_PARAMETERS angstrom
-2.2054 2.2054 6.5178
2.2054 -2.2054 6.5178
2.2054 2.2054 -6.5178

# 8
! YMg2Zn (PBEsol, optimized geometry); values from VASP
! - Calculated formation energy: -133 meV per atom
! - Crystal system: orthorhombic
&SYSTEM
  ibrav = 0, nat = 4, ntyp = 3
/
ATOMIC_SPECIES
Y 88.91 Y.upf
Mg 24.30 Mg.upf
Zn 65.41 Zn.upf
ATOMIC_POSITIONS crystal
Y 0.0000 0.0000 0.0000
Mg 0.0000 0.5000 0.5000
Mg 0.5000 0.0000 0.5000
Zn 0.5000 0.5000 0.0000
CELL_PARAMETERS angstrom
4.1163 0.0000 0.0000
0.0000 4.4608 0.0000
0.0000 0.0000 4.8149

# 9
! La3Ag2 (PBEsol, optimized geometry); values from VASP
! - Calculated formation energy: -110 meV per atom
! - Crystal system: tetragonal
&SYSTEM
  ibrav = 0, nat = 5, ntyp = 2
/
ATOMIC_SPECIES
La 138.91 La.upf
Ag 107.87 Ag.upf
ATOMIC_POSITIONS crystal
La 0.0000 0.0000 0.0000
La 0.3757 0.3757 0.0000
La 0.6243 0.6243 0.0000
Ag 0.2178 0.2178 0.0000
Ag 0.7822 0.7822 0.0000
CELL_PARAMETERS angstrom
-1.8336 1.8336 10.0431
1.8336 -1.8336 10.0431
1.8336 1.8336 -10.0431

# 10
! TlFeS2 (PBEsol, optimized geometry); values from VASP
! - Crystal system: monoclinic
! - E_form (uncorrected): -1.61 eV per formula unit
&SYSTEM
  ibrav = 0, nat = 8, ntyp = 3
/
ATOMIC_SPECIES
Tl 204.38 Tl.upf
Fe 55.84 Fe.upf
S 32.06 S.upf
ATOMIC_POSITIONS crystal
Tl 0.1770 0.1770 0.1276
Tl 0.8230 0.8230 0.8724
Fe 0.2490 0.7510 0.5000
Fe 0.7510 0.2490 0.5000
S 0.1647 0.1647 0.5724
S 0.4645 0.4645 0.2208
S 0.5355 0.5355 0.7792
S 0.8353 0.8353 0.4276
CELL_PARAMETERS angstrom
5.6196 -2.5027 0.0000
5.6196 2.5027 0.0000
-2.9717 0.0000 5.8465

# 11
! RuPtBr (PBEsol, optimized geometry); values from VASP
! - Crystal system: tetragonal
! - E_form (uncorrected): 1.97 eV per formula unit
&SYSTEM
  ibrav = 0, nat = 3, ntyp = 3
/
ATOMIC_SPECIES
Ru 101.07 Ru.upf
Pt 195.08 Pt.upf
Br 79.90 Br.upf
ATOMIC_POSITIONS crystal
Ru 0.0000 0.0000 0.0000
Pt 0.3598 0.3598 0.0000
Br 0.6389 0.6389 0.0000
CELL_PARAMETERS angstrom
-1.4596 1.4596 5.9544
1.4596 -1.4596 5.9544
1.4596 1.4596 -5.9544

# 12
! KTl2 (PBEsol, optimized geometry); values from VASP
! - Calculated formation energy: 8 meV per atom
! - Crystal system: hexagonal
&SYSTEM
  ibrav = 0, nat = 6, ntyp = 2
/
ATOMIC_SPECIES
K 39.10 K.upf
Tl 204.38 Tl.upf
ATOMIC_POSITIONS crystal
K 0.3333 0.6667 0.2500
K 0.6667 0.3333 0.7500
Tl 0.0000 0.0000 0.0000
Tl 0.0000 0.0000 0.5000
Tl 0.3333 0.6667 0.7500
Tl 0.6667 0.3333 0.2500
CELL_PARAMETERS angstrom
5.6673 0.0000 0.0000
-2.8337 4.9080 0.0000
0.0000 0.0000 6.7561

# 13
! CrFe2Ag (PBEsol, optimized geometry); values from VASP
! - Calculated formation energy: 336 meV per atom
! - Crystal system: tetragonal
&SYSTEM
  ibrav = 0, nat = 4, ntyp = 3
/
ATOMIC_SPECIES
Cr 52.00 Cr.upf
Fe 55.84 Fe.upf
Ag 107.87 Ag.upf
ATOMIC_POSITIONS crystal
Cr 0.0000 0.0000 0.0000
Fe 0.5000 0.5000 0.2200
Fe 0.5000 0.5000 0.7800
Ag 0.0000 0.0000 0.5000
CELL_PARAMETERS angstrom
2.5941 0.0000 0.0000
0.0000 2.5941 0.0000
0.0000 0.0000 7.3447

# 14
! MgH2 (PBEsol, optimized geometry); values from VASP
! - Crystal system: tetragonal
! - E_tot: -0.10844 hartree per atom
&SYSTEM
  ibrav = 0, nat = 6, ntyp = 2
/
ATOMIC_SPECIES
Mg 24.30 Mg.upf
H 1.01 H.upf
ATOMIC_POSITIONS crystal
Mg 0.0000 0.0000 0.0000
Mg 0.5000 0.5000 0.5000
H 0.1957 0.1957 0.5000
H 0.3043 0.6957 0.0000
H 0.6957 0.3043 0.0000
H 0.8043 0.8043 0.5000
CELL_PARAMETERS angstrom
4.4681 0.0000 0.0000
0.0000 4.4681 0.0000
0.0000 0.0000 3.0083

# 15
! EuNbO3 (PBEsol, optimized geometry); values from VASP
! - Crystal system: cubic
! - E_form (uncorrected): -13.77 eV per formula unit
&SYSTEM
  ibrav = 0, nat = 5, ntyp = 3
/
ATOMIC_SPECIES
Eu 151.96 Eu.upf
Nb 92.91 Nb.upf
O 16.00 O.upf
ATOMIC_POSITIONS crystal
Eu 0.0000 0.0000 0.0000
Nb 0.5000 0.5000 0.5000
O 0.0000 0.5000 0.5000
O 0.5000 0.0000 0.5000
O 0.5000 0.5000 0.0000
CELL_PARAMETERS angstrom
4.0340 0.0000 0.0000
0.0000 4.0340 0.0000
0.0000 0.0000 4.0340

# 16
! TlCr2Hg (PBEsol, optimized geometry); values from VASP
! - Calculated formation energy: 561 meV per atom
! - Crystal system: monoclinic
&SYSTEM
  ibrav = 0, nat = 4, ntyp = 3
/
ATOMIC_SPECIES
Tl 204.38 Tl.upf
Cr 52.00 Cr.upf
Hg 200.59 Hg.upf
ATOMIC_POSITIONS crystal
Tl 0.0000 0.0000 0.0000
Cr 0.4483 0.4483 0.4500
Cr 0.7709 0.7709 0.2631
Hg 0.2149 0.2149 0.7066
CELL_PARAMETERS angstrom
5.3298 -1.5383 0.0000
5.3298 1.5383 0.0000
-1.9465 0.0000 4.2986

# 17
! AlAs2Au (PBEsol, optimized geometry); values from VASP
! - Calculated formation energy: -117 meV per atom
! - Crystal system: monoclinic
&SYSTEM
  ibrav = 0, nat = 4, ntyp = 3
/
ATOMIC_SPECIES
Al 26.98 Al.upf
As 74.92 As.upf
Au 196.97 Au.upf
ATOMIC_POSITIONS crystal
Al 0.0000 0.0000 0.0000
As 0.2636 0.2636 0.3015
As 0.7364 0.7364 0.6985
Au 0.5000 0.5000 0.5000
CELL_PARAMETERS angstrom
5.6398 -1.8071 0.0000
5.6398 1.8071 0.0000
-1.2635 0.0000 3.7516

# 18
! Li10SiP2S12 (PBEsol, optimized geometry); values from VASP
! - Crystal system: triclinic
! - E_form (uncorrected): -25.56 eV per formula unit
&SYSTEM
  ibrav = 0, nat = 50, ntyp = 4
/
ATOMIC_SPECIES
Li 6.94 Li.upf
Si 28.09 Si.upf
P 30.97 P.upf
S 32.06 S.upf
ATOMIC_POSITIONS crystal
Li 0.0000 0.0000 0.0000
Li 0.0006 0.5236 0.6116
Li 0.0116 0.0195 0.7620
Li 0.0193 0.4666 0.1035
Li 0.0301 0.4862 0.3682
Li 0.2520 0.7619 0.1934
Li 0.2625 0.2127 0.5007
Li 0.2775 0.7800 0.7002
Li 0.4740 0.4918 0.3696
Li 0.4960 0.4672 0.1052
Li 0.5099 0.9850 0.2292
Li 0.5148 0.5221 0.8914
Li 0.5242 0.9648 0.4999
Li 0.5301 0.9907 0.9695
Li 0.5525 0.5218 0.6180
Li 0.7305 0.2225 0.8112
Li 0.7559 0.2424 0.2963
Li 0.9741 0.9152 0.4915
Li 0.9851 0.5111 0.8831
Li 0.9955 0.9853 0.2384
Si 0.2563 0.7569 0.4304
Si 0.7539 0.2643 0.0602
P 0.2495 0.7352 0.9370
P 0.2550 0.2255 0.2575
P 0.7538 0.7767 0.7392
P 0.7656 0.2532 0.5595
S 0.0437 0.7549 0.3332
S 0.0525 0.7169 0.0274
S 0.0623 0.2079 0.3511
S 0.2472 0.0514 0.1433
S 0.2494 0.5629 0.8205
S 0.2489 0.9430 0.5457
S 0.2548 0.9437 0.8739
S 0.2603 0.5468 0.5103
S 0.2609 0.4386 0.2019
S 0.4525 0.7234 0.0313
S 0.4556 0.2049 0.3512
S 0.4644 0.7663 0.3398
S 0.5430 0.2745 0.9640
S 0.5575 0.7973 0.6458
S 0.5627 0.2397 0.6429
S 0.7433 0.5629 0.7939
S 0.7540 0.0487 0.1333
S 0.7615 0.4480 0.1778
S 0.7655 0.0739 0.4485
S 0.7676 0.4546 0.4834
S 0.7721 0.9485 0.8558
S 0.9573 0.2718 0.9639
S 0.9581 0.7911 0.6551
S 0.9652 0.2533 0.6575
CELL_PARAMETERS angstrom
8.4351 0.0000 0.0000
-0.0865 8.8165 0.0000
-0.3777 -0.7246 12.5997

# 19
! KAlPb (PBEsol, optimized geometry); values from VASP
! - Calculated formation energy: 111 meV per atom
! - Crystal system: tetragonal
&SYSTEM
  ibrav = 0, nat = 3, ntyp = 3
/
ATOMIC_SPECIES
K 39.10 K.upf
Al 26.98 Al.upf
Pb 207.20 Pb.upf
ATOMIC_POSITIONS crystal
K 0.0000 0.0000 0.0000
Al 0.3233 0.3233 0.0000
Pb 0.6920 0.6920 0.0000
CELL_PARAMETERS angstrom
-1.7159 1.7159 7.4027
1.7159 -1.7159 7.4027
1.7159 1.7159 -7.4027

# 20
! Tl2Sb2Te (PBEsol, optimized geometry); values from VASP
! - Crystal system: tetragonal
! - E_form (uncorrected): 0.99 eV per formula unit
&SYSTEM
  ibrav = 0, nat = 5, ntyp = 3
/
ATOMIC_SPECIES
Tl 204.38 Tl.upf
Sb 121.76 Sb.upf
Te 127.60 Te.upf
ATOMIC_POSITIONS crystal
Tl 0.2500 0.7500 0.5000
Tl 0.7500 0.2500 0.5000
Sb 0.0956 0.0956 0.0000
Sb 0.9044 0.9044 0.0000
Te 0.5000 0.5000 0.0000
CELL_PARAMETERS angstrom
-2.2117 2.2117 7.5024
2.2117 -2.2117 7.5024
2.2117 2.2117 -7.5024